No. 1
# ZnIn2Se2

A relaxed structure of ZnIn2Se2 (GGA-PBE, Alexandria via LeMat-Bulk).

Computed properties:
Its total energy is -2.84 eV/atom. Its uncorrected formation energy is -92 meV/atom. The value obtained for the density of states at the Fermi level is 5.10 states/eV per cell. The theoretical density comes out at 5.9 g cm⁻³.

Unit cell a=7.8763 b=7.8763 c=4.1298 alpha=90.00 beta=90.00 gamma=90.00
Element x y z (fractional)
1 Se 0.1894 0.3106 0.0000
2 Se 0.3106 0.8106 0.0000
3 Zn 0.5000 0.5000 0.0000
4 Se 0.8106 0.6894 0.0000
5 Se 0.6894 0.1894 0.0000
6 In 0.3662 0.1338 0.5000
7 In 0.8662 0.3662 0.5000
8 In 0.6338 0.8662 0.5000
9 In 0.1338 0.6338 0.5000
10 Zn 0.0000 0.0000 0.0000

=====

No. 2
# CeTlBi2

A relaxed structure of CeTlBi2 (GGA-PBE, Alexandria via LeMat-Bulk).

Computed properties:
Its total energy is -4.44 eV/atom. The distance to the lowest polymorph of the same formula comes out at 0 meV per atom. The value obtained for the density of states at the Fermi level is 5.76 states/eV per cell. The theoretical density comes out at 10.6 g cm⁻³. For the formation energy, the calculation gives -41 kJ/mol of atoms.

Unit cell a=4.6270 b=5.0728 c=5.0728 alpha=90.00 beta=90.00 gamma=90.00
Element x y z (fractional)
1 Tl 0.5000 0.0000 0.0000
2 Bi 0.0000 0.0000 0.5000
3 Bi 0.0000 0.5000 0.0000
4 Ce 0.5000 0.5000 0.5000

=====

No. 3
# SmPu2Ir

A relaxed structure of SmPu2Ir (GGA-PBE, Alexandria via LeMat-Bulk).

Computed properties:
Its total energy is -10.84 eV/atom. The distance to the lowest polymorph of the same formula comes out at 0 meV per atom. The value obtained for the density of states at the Fermi level is 124.93 states/eV per cell. The theoretical density comes out at 13.5 g cm⁻³. For the formation energy, the calculation gives -27 kJ/mol of atoms.

Unit cell a=5.8511 b=9.6825 c=14.4551 alpha=90.00 beta=90.00 gamma=90.00
Element x y z (fractional)
1 Ir 0.5082 0.7500 0.4274
2 Sm 0.0220 0.7500 0.3574
3 Pu 0.0391 0.0548 0.2150
4 Pu 0.7577 0.9485 0.0356
5 Sm 0.9780 0.2500 0.6426
6 Sm 0.7599 0.2500 0.3943
7 Pu 0.5391 0.5548 0.2850
8 Ir 0.7322 0.7500 0.6762
9 Pu 0.7423 0.9485 0.5356
10 Pu 0.2423 0.0515 0.9644
11 Pu 0.2577 0.0515 0.4644
12 Pu 0.4609 0.4452 0.7150
13 Ir 0.0082 0.2500 0.0726
14 Sm 0.7401 0.2500 0.8943
15 Pu 0.0391 0.4452 0.2150
16 Pu 0.5391 0.9452 0.2850
17 Pu 0.7423 0.5515 0.5356
18 Ir 0.7678 0.7500 0.1762
19 Pu 0.7577 0.5515 0.0356
20 Sm 0.4780 0.7500 0.8574
21 Pu 0.9609 0.5548 0.7850
22 Ir 0.4918 0.2500 0.5726
23 Ir 0.2322 0.2500 0.8238
24 Pu 0.9609 0.9452 0.7850
25 Ir 0.2678 0.2500 0.3238
26 Sm 0.2599 0.7500 0.1057
27 Pu 0.2423 0.4485 0.9644
28 Pu 0.4609 0.0548 0.7150
29 Sm 0.2401 0.7500 0.6057
30 Pu 0.2577 0.4485 0.4644
31 Sm 0.5220 0.2500 0.1426
32 Ir 0.9918 0.7500 0.9274

=====

No. 4
# Sm2Ho2Tm3

A relaxed structure of Sm2Ho2Tm3 (GGA-PBE, Alexandria via LeMat-Bulk).

Computed properties:
Its total energy is -4.34 eV/atom. The distance to the lowest polymorph of the same formula comes out at 98 meV per atom. The value obtained for the density of states at the Fermi level is 18.45 states/eV per cell. The theoretical density comes out at 8.4 g cm⁻³. For the formation energy, the calculation gives 22 kJ/mol of atoms.

Unit cell a=8.3629 b=8.3629 c=8.3629 alpha=109.47 beta=109.47 gamma=109.47
Element x y z (fractional)
1 Tm 0.8076 0.2500 0.5576
2 Ho 0.9126 0.5000 0.0000
3 Tm 0.6924 0.7500 0.9424
4 Sm 0.3115 0.5000 0.0000
5 Tm 0.7500 0.5576 0.3076
6 Sm 0.1885 0.6885 0.6885
7 Tm 0.4424 0.1924 0.7500
8 Tm 0.2500 0.9424 0.1924
9 Sm 0.5000 0.8115 0.5000
10 Ho 0.0000 0.0000 0.4126
11 Ho 0.5000 0.4126 0.5000
12 Ho 0.5874 0.0874 0.0874
13 Tm 0.0576 0.3076 0.2500
14 Sm 0.0000 0.0000 0.8115

=====

No. 5
# RbAc4

A relaxed structure of RbAc4 (GGA-PBE, Alexandria via LeMat-Bulk).

Computed properties:
Its total energy is -2.59 eV/atom. The value obtained for the density of states at the Fermi level is 7.43 states/eV per cell. The theoretical density comes out at 6.6 g cm⁻³. For the formation energy, the calculation gives 86 kJ/mol of atoms.

Unit cell a=6.2998 b=6.2998 c=6.2998 alpha=90.00 beta=90.00 gamma=90.00
Element x y z (fractional)
1 Ac 0.5000 0.0000 0.5000
2 Ac 0.5000 0.5000 0.0000
3 Ac 0.0000 0.5000 0.5000
4 Rb 0.5000 0.5000 0.5000
5 Ac 0.0000 0.0000 0.0000

=====

No. 6
# Ac2NdSmSe5

A relaxed structure of Ac2NdSmSe5 (GGA-PBE, Alexandria via LeMat-Bulk).

Computed properties:
Its total energy is -5.32 eV/atom. Its uncorrected formation energy is -1414 meV/atom. The value obtained for the density of states at the Fermi level is 5.07 states/eV per cell. The theoretical density comes out at 6.2 g cm⁻³.

Unit cell a=5.2519 b=5.2519 c=11.1211 alpha=90.00 beta=90.00 gamma=90.00
Element x y z (fractional)
1 Se 0.0000 0.0000 0.7534
2 Ac 0.5000 0.5000 0.2914
3 Nd 0.0000 0.0000 0.0000
4 Sm 0.0000 0.0000 0.5000
5 Ac 0.5000 0.5000 0.7086
6 Se 0.5000 0.0000 0.5000
7 Se 0.0000 0.0000 0.2466
8 Se 0.5000 0.5000 0.0000
9 Se 0.0000 0.5000 0.5000

=====

No. 7
# LiSc3Cd12

A relaxed structure of LiSc3Cd12 (GGA-PBE, Alexandria via LeMat-Bulk).

Computed properties:
Its total energy is -2.19 eV/atom. The value obtained for the density of states at the Fermi level is 10.21 states/eV per cell. The theoretical density comes out at 7.2 g cm⁻³. For the formation energy, the calculation gives -19 kJ/mol of atoms.

Unit cell a=4.4338 b=4.4338 c=17.5709 alpha=90.00 beta=90.00 gamma=90.00
Element x y z (fractional)
1 Cd 0.5000 0.5000 0.0000
2 Cd 0.0000 0.5000 0.6274
3 Cd 0.5000 0.5000 0.7562
4 Cd 0.0000 0.5000 0.1195
5 Cd 0.5000 0.0000 0.8805
6 Sc 0.0000 0.0000 0.5000
7 Cd 0.0000 0.5000 0.8805
8 Cd 0.0000 0.5000 0.3726
9 Li 0.0000 0.0000 0.0000
10 Cd 0.5000 0.0000 0.3726
11 Sc 0.0000 0.0000 0.7566
12 Cd 0.5000 0.0000 0.6274
13 Cd 0.5000 0.5000 0.2438
14 Sc 0.0000 0.0000 0.2434
15 Cd 0.5000 0.5000 0.5000
16 Cd 0.5000 0.0000 0.1195

=====

No. 8
# Zn3TeO

A relaxed structure of Zn3TeO (GGA-PBE, Alexandria via LeMat-Bulk).

Computed properties:
Its total energy is -1.56 eV/atom. Its uncorrected formation energy is 822 meV/atom. The distance to the lowest polymorph of the same formula comes out at 1015 meV per atom. The value obtained for the density of states at the Fermi level is 2.03 states/eV per cell. The theoretical density comes out at 3.9 g cm⁻³.

Unit cell a=5.2521 b=5.2521 c=5.2521 alpha=90.00 beta=90.00 gamma=90.00
Element x y z (fractional)
1 Zn 0.0000 0.0000 0.5000
2 Zn 0.0000 0.5000 0.0000
3 Zn 0.5000 0.0000 0.0000
4 O 0.5000 0.5000 0.5000
5 Te 0.0000 0.0000 0.0000